# 1
## La7Y4Ho (PBE)

Data for an optimized crystal structure of La7Y4Ho.

Summary:
ΔH_f (0 K) (kJ/mol of formula units): 12
Theoretical density (kg/m³): 5908
Calculated volume (Å³/atom): 35.0
DFT total energy (eV for the cell shown): -64.80
DOS(E_F) (states/eV/f.u.): 18.0

abc: 6.427 7.362 9.123
angles: 89.98 76.43 89.93
Space group P-1 (No. 2)
One atom of each set of equivalent atoms:
La: 0.000 0.000 0.000 x1
La: 0.224 0.000 0.333 x2
La: 0.279 0.251 0.667 x2
La: 0.498 0.255 0.001 x2
Y: 0.217 0.499 0.334 x2
Y: 0.278 0.743 0.669 x2
Ho: 0.000 0.500 0.000 x1

---

# 2
## La2Y3Ho4 (PBE)

Data for an optimized crystal structure of La2Y3Ho4.

Summary:
ΔH_f (0 K) (kJ/mol of formula units): 28
Theoretical density (kg/m³): 6766
Calculated volume (Å³/atom): 32.8
DFT total energy (eV for the cell shown): -94.54
DOS(E_F) (states/eV/f.u.): 14.6

abc: 15.240 5.091 8.030
angles: 90.00 108.44 90.00
Space group C2/m (No. 12)
One atom of each set of equivalent atoms:
La: 0.166 0.000 0.001 x4
Y: 0.000 0.500 0.000 x2
Y: 0.110 0.500 0.663 x4
Ho: 0.057 0.000 0.339 x4
Ho: 0.222 0.500 0.338 x4